The following is a PBE-GGA calculation of SrPuAu2 after structural relaxation, from Alexandria.

Cell and atoms, written as POSCAR:
```
SrPuAu2
1.0
3.713 0.000 0.000
0.000 3.713 0.000
0.000 0.000 7.609
Sr Au Pu
1 2 1
Cartesian
1.857 1.857 3.805
0.000 0.000 5.890
0.000 0.000 1.719
1.857 1.857 0.000
```

Summary:
Its relative energy among the computed polymorphs is 0.000 eV per atom. For the total DFT energy (no corrections), the calculation gives -24.79 eV for the cell shown.

The following is a PBE-GGA calculation of Mg2GaAg2 after structural relaxation, from Alexandria.

Cell and atoms, written as POSCAR:
```
Mg2GaAg2
1.0
-0.324 -3.104 -0.128
2.970 1.027 4.715
-9.842 2.393 4.696
Mg Ga Ag
4 2 4
Cartesian
0.830 -1.846 3.656
-2.004 0.053 3.347
-8.026 2.161 5.626
-5.192 0.262 5.936
-6.777 0.555 3.527
-0.419 -0.241 5.756
-6.454 1.880 8.012
-4.669 -1.239 3.459
-0.742 -1.566 1.271
-2.527 1.554 5.823
```

Summary:
Its relative energy among the computed polymorphs is 0.000 eV per atom. For the total DFT energy (no corrections), the calculation gives -25.45 eV for the cell shown.

The following is a PBE-GGA calculation of MnBe2W after structural relaxation, from Alexandria.

Cell and atoms, written as POSCAR:
```
MnBe2W
1.0
4.570 0.007 0.018
3.591 2.827 0.018
1.660 0.576 3.488
Be Mn W
2 1 1
Cartesian
1.730 0.601 3.452
4.840 1.680 1.798
7.365 2.557 2.642
2.455 0.852 0.881
```

Summary:
Its relative energy among the computed polymorphs is 0.161 eV per atom. For the total DFT energy (no corrections), the calculation gives -29.10 eV for the cell shown.

The following is a PBE-GGA calculation of DySi2HO6 after structural relaxation, from Alexandria.

Cell and atoms, written as POSCAR:
```
DySi2HO6
1.0
-2.850 1.973 4.041
-6.693 0.211 -1.755
-2.233 -5.175 4.019
Dy Si H O
2 4 2 12
Cartesian
-6.797 -0.031 0.044
-4.980 -2.960 6.262
-7.431 -2.347 2.494
-3.582 -0.831 0.934
-4.345 -0.644 3.812
-8.194 -2.160 5.372
-4.209 -3.156 3.394
-7.567 0.166 2.911
-8.491 -3.570 2.314
-2.433 0.284 1.229
-3.285 0.579 3.992
-9.343 -3.275 5.077
-7.677 -0.773 2.090
-4.627 -0.846 -0.334
-4.099 -2.218 4.216
-7.149 -2.145 6.639
-6.200 -2.717 1.425
-4.671 -0.633 2.187
-5.576 -0.274 4.881
-7.105 -2.358 4.118
```

Summary:
For the total DFT energy (no corrections), the calculation gives -149.74 eV for the cell shown.